(1)
DFT (PBEsol) results for crystalline BeS2ClO at its relaxed geometry.

Geometry as extended XYZ:
```
5
Lattice="4.263 0.000 0.000 0.000 4.228 0.000 0.000 0.000 4.228" Properties=species:S:1:pos:R:3 pbc="T T T"
Be 0.000 0.000 0.000
S 0.000 0.000 2.114
S 0.000 2.114 0.000
O 2.131 2.114 2.114
Cl 2.131 0.000 0.000
```

Values from the calculation:
N(E_F) in states/eV per cell: 5.0
V in Å³ per cell: 76
Final energy in eV per cell: -16.54
Symmetry: P4/mmm (123)
ΔE_f (raw) in eV/atom: 0.6972
Magnetization in μB per formula unit: 1.7

=====

(2)
DFT (PBEsol) results for crystalline Cr4As at its relaxed geometry.

Geometry as extended XYZ:
```
5
Lattice="-3.647 -2.170 -1.734 3.833 -1.864 -1.689 -0.011 -0.402 4.567" Properties=species:S:1:pos:R:3 pbc="T T T"
As 0.000 0.000 0.000
Cr -0.006 -0.201 2.284
Cr 1.917 -0.932 -0.844
Cr -1.824 -1.085 -0.867
Cr 0.087 -2.218 0.572
```

Values from the calculation:
N(E_F) in states/eV per cell: 8.0
V in Å³ per cell: 74
Final energy in eV per cell: -39.87
Symmetry: Im-3m (229)
Magnetization in μB per formula unit: 3.2
E_form in eV per atom: 1.2409

=====

(3)
DFT (PBEsol) results for crystalline KPb at its relaxed geometry.

Geometry as extended XYZ:
```
32
Lattice="-10.364 4.677 0.244 1.237 -11.333 4.720 -0.189 -1.010 11.326" Properties=species:S:1:pos:R:3 pbc="T T T"
K -5.643 -6.075 9.285
K -10.013 1.688 2.838
K -2.465 -2.266 8.321
K -0.511 -8.679 12.136
K -0.416 -8.174 6.473
K -7.647 0.073 8.444
K -4.831 -0.650 2.716
K -5.737 -6.580 14.948
K -6.474 2.787 1.539
K -8.447 -1.715 4.018
K -5.956 -3.107 6.731
K -4.079 0.880 10.032
K -0.822 -5.704 9.499
K -9.213 3.476 7.264
K -1.340 0.191 4.306
K -3.406 -4.806 12.332
Pb -0.320 -4.367 6.026
Pb -8.377 -3.514 9.586
Pb -7.132 -4.340 12.294
Pb -1.723 -0.508 0.637
Pb -9.746 2.154 10.738
Pb -4.249 -8.320 11.988
Pb -2.913 -8.658 9.218
Pb -2.803 -3.111 4.675
Pb -6.976 1.451 5.012
Pb -8.046 -6.058 6.416
Pb 0.884 -10.919 14.790
Pb -5.573 -2.408 10.401
Pb -8.103 -1.403 11.870
Pb -1.810 -5.930 3.770
Pb -3.146 -5.591 6.539
Pb -4.493 0.194 6.363
```

Values from the calculation:
Polymorph energy (0 for the lowest one) in meV/atom: 0.0
V in Å³ per cell: 1210
Final energy in eV per cell: -89.54
Symmetry: I4_1/acd (142)
Magnetization in μB per formula unit: 0.0
E_form in eV per atom: -0.2322

=====

(4)
DFT (PBEsol) results for crystalline V2CrB2 at its relaxed geometry.

Geometry as extended XYZ:
```
10
Lattice="2.967 0.000 0.000 0.000 5.583 0.000 0.000 0.000 5.583" Properties=species:S:1:pos:R:3 pbc="T T T"
Cr 0.000 0.000 0.000
Cr 0.000 2.791 2.791
B 0.000 2.157 4.948
B 0.000 4.948 3.426
B 0.000 3.426 0.635
B 0.000 0.635 2.157
V 1.483 0.996 3.788
V 1.483 3.788 4.586
V 1.483 4.586 1.795
V 1.483 1.795 0.996
```

Values from the calculation:
N(E_F) in states/eV per cell: 3.6
V in Å³ per cell: 92
Final energy in eV per cell: -94.64
Symmetry: P4/mbm (127)
Magnetization in μB per formula unit: 0.0
E_form in eV per atom: -0.7554

=====

(5)
DFT (PBEsol) results for crystalline KBa3Co at its relaxed geometry.

Geometry as extended XYZ:
```
5
Lattice="6.097 0.000 0.000 0.000 6.097 0.000 0.000 0.000 6.097" Properties=species:S:1:pos:R:3 pbc="T T T"
K 3.048 3.048 3.048
Co 0.000 0.000 0.000
Ba 0.000 3.048 0.000
Ba 0.000 0.000 3.048
Ba 3.048 0.000 0.000
```

Values from the calculation:
N(E_F) in states/eV per cell: 7.0
V in Å³ per cell: 227
Final energy in eV per cell: -13.90
Symmetry: Pm-3m (221)
Magnetization in μB per formula unit: 0.4
E_form in eV per atom: 0.2844

=====

(6)
DFT (PBEsol) results for crystalline ZrCo4Hg at its relaxed geometry.

Geometry as extended XYZ:
```
6
Lattice="4.807 0.000 0.000 2.404 4.163 0.000 2.404 1.388 3.925" Properties=species:S:1:pos:R:3 pbc="T T T"
Co 3.607 2.082 1.473
Co 4.807 2.775 3.432
Co 6.007 2.082 1.473
Co 4.807 4.161 1.473
Hg 7.211 4.163 2.944
Zr 0.000 0.000 0.000
```

Values from the calculation:
N(E_F) in states/eV per cell: 9.3
V in Å³ per cell: 79
Final energy in eV per cell: -41.56
Symmetry: F-43m (216)
Magnetization in μB per formula unit: 3.6
E_form in eV per atom: -0.1595

=====

(7)
DFT (PBEsol) results for crystalline MnRh3 at its relaxed geometry.

Geometry as extended XYZ:
```
4
Lattice="2.692 0.000 0.000 0.000 4.237 0.000 0.000 0.000 4.578" Properties=species:S:1:pos:R:3 pbc="T T T"
Mn 0.000 0.000 0.013
Rh 0.000 2.119 1.521
Rh 1.346 0.000 2.263
Rh 1.346 2.119 3.833
```

Values from the calculation:
N(E_F) in states/eV per cell: 5.2
V in Å³ per cell: 52
Final energy in eV per cell: -34.25
Symmetry: Pmm2 (25)
Magnetization in μB per formula unit: 2.2
E_form in eV per atom: -0.0192

=====

(8)
DFT (PBEsol) results for crystalline Sc2CdTc at its relaxed geometry.

Geometry as extended XYZ:
```
4
Lattice="-2.295 -1.252 -1.982 2.342 -1.335 -1.869 -0.199 -5.791 3.887" Properties=species:S:1:pos:R:3 pbc="T T T"
Sc -0.156 -4.560 3.060
Sc -0.042 -1.231 0.826
Tc 0.024 -1.293 -1.926
Cd -0.076 -4.189 0.018
```

Values from the calculation:
N(E_F) in states/eV per cell: 3.8
V in Å³ per cell: 75
Final energy in eV per cell: -26.87
Symmetry: P4/mmm (123)
Magnetization in μB per formula unit: 0.0
E_form in eV per atom: -0.2994

=====

(9)
DFT (PBEsol) results for crystalline TaTl2Rh at its relaxed geometry.

Geometry as extended XYZ:
```
4
Lattice="3.129 0.000 0.000 0.000 3.032 -0.050 0.000 -1.375 8.558" Properties=species:S:1:pos:R:3 pbc="T T T"
Rh 0.000 2.160 4.540
Ta 1.564 0.667 6.019
Tl 0.000 -0.817 8.253
Tl 1.564 0.618 2.481
```

Values from the calculation:
Polymorph energy (0 for the lowest one) in meV/atom: 0.0
N(E_F) in states/eV per cell: 3.2
V in Å³ per cell: 81
Final energy in eV per cell: -25.64
Symmetry: Pm (6)
Magnetization in μB per formula unit: 0.0
E_form in eV per atom: 0.0772

=====

(10)
DFT (PBEsol) results for crystalline Ti2CuNi at its relaxed geometry.

Geometry as extended XYZ:
```
4
Lattice="2.975 0.000 0.000 0.000 2.975 0.000 0.000 0.000 6.103" Properties=species:S:1:pos:R:3 pbc="T T T"
Ni 1.487 1.487 0.000
Cu 1.487 1.487 3.052
Ti 0.000 0.000 4.619
Ti 0.000 0.000 1.484
```

Values from the calculation:
N(E_F) in states/eV per cell: 5.4
V in Å³ per cell: 54
Final energy in eV per cell: -27.92
Symmetry: P4/mmm (123)
Magnetization in μB per formula unit: 0.0
E_form in eV per atom: -0.1966

=====

(11)
DFT (PBEsol) results for crystalline ReNi2W at its relaxed geometry.

Geometry as extended XYZ:
```
4
Lattice="-2.222 -1.378 -0.452 -0.302 -1.321 -2.282 2.719 -7.798 2.611" Properties=species:S:1:pos:R:3 pbc="T T T"
Ni 0.060 -2.646 -0.020
Ni 0.135 -7.851 -0.103
Re 0.097 -5.248 -0.061
W 0.000 0.000 0.000
```

Values from the calculation:
N(E_F) in states/eV per cell: 4.5
V in Å³ per cell: 52
Final energy in eV per cell: -38.75
Symmetry: R-3m (166)
Magnetization in μB per formula unit: 0.0
E_form in eV per atom: 0.1758

=====

(12)
DFT (PBEsol) results for crystalline LaTc2Se at its relaxed geometry.

Geometry as extended XYZ:
```
4
Lattice="3.063 0.000 0.000 1.532 2.653 0.000 1.532 0.884 8.825" Properties=species:S:1:pos:R:3 pbc="T T T"
La 3.063 1.769 4.412
Se 0.000 0.000 0.000
Tc 1.532 0.884 1.766
Tc 4.595 2.653 7.059
```

Values from the calculation:
N(E_F) in states/eV per cell: 4.8
V in Å³ per cell: 72
Final energy in eV per cell: -29.78
Symmetry: R-3m (166)
ΔE_f (raw) in eV/atom: 0.4884
Magnetization in μB per formula unit: 0.0

=====

(13)
DFT (PBEsol) results for crystalline SrAuCl2 at its relaxed geometry.

Geometry as extended XYZ:
```
8
Lattice="-1.846 1.959 4.147 -4.385 -2.065 -0.976 5.515 -7.157 2.888" Properties=species:S:1:pos:R:3 pbc="T T T"
Sr 0.277 -2.626 4.310
Sr -3.115 -0.053 1.585
Au -0.992 -4.638 1.749
Au 0.000 0.000 0.000
Cl -3.108 -2.907 1.328
Cl -1.923 -0.805 4.080
Cl 3.458 -5.333 2.585
Cl 0.142 -5.481 4.126
```

Values from the calculation:
Polymorph energy (0 for the lowest one) in meV/atom: 107.8
N(E_F) in states/eV per cell: 3.4
V in Å³ per cell: 216
Final energy in eV per cell: -28.05
Symmetry: I-42d (122)
ΔE_f (raw) in eV/atom: -1.0612
Magnetization in μB per formula unit: 0.0